Entry from Alexandria: a geometry-optimized Cs4RbNp3O12 structure (GGA-PBE).

Values from the calculation:
Space-group type: Im-3m
Electronic total energy: -151.33 eV/f.u.

a b c (Å): 7.851 7.851 7.851
angles (deg): 109.47 109.47 109.47
Positions (direct):
O  0.500  0.250  0.750
O  0.250  0.500  0.750
O  0.750  0.500  0.250
O  0.750  0.250  0.500
O  0.295  0.000  0.295
O  0.705  0.705  0.000
O  0.295  0.295  0.000
O  0.705  0.000  0.705
O  0.000  0.295  0.295
O  0.250  0.750  0.500
O  0.000  0.705  0.705
O  0.500  0.750  0.250
Np  0.500  0.000  0.500
Np  0.000  0.500  0.500
Np  0.500  0.500  0.000
Cs  0.000  0.000  0.500
Cs  0.500  0.000  0.000
Cs  0.500  0.500  0.500
Cs  0.000  0.500  0.000
Rb  0.000  0.000  0.000



Entry from Alexandria: a geometry-optimized Mg2AgGe structure (GGA-PBE).

Values from the calculation:
E_form: 0.111 eV/atom
Space-group type: I-42d

a b c (Å): 7.532 7.532 6.101
angles (deg): 51.89 51.89 90.00
Positions (direct):
Mg  0.622  0.125  0.250
Mg  0.875  0.872  0.750
Mg  0.128  0.625  0.250
Mg  0.375  0.378  0.750
Ag  0.750  0.250  0.500
Ag  0.000  0.000  0.000
Ge  0.250  0.750  0.500
Ge  0.500  0.500  0.000



Entry from Alexandria: a geometry-optimized BeP2Br structure (GGA-PBE).

Values from the calculation:
Offset from the most stable computed form: 2.747 eV per formula unit
Space-group type: I4/mmm

a b c (Å): 7.063 7.063 7.063
angles (deg): 152.88 152.88 38.73
Positions (direct):
P  0.000  0.000  0.000
P  0.500  0.500  0.000
Be  0.250  0.750  0.500
Br  0.750  0.250  0.500



Entry from Alexandria: a geometry-optimized SnHgTeF2 structure (GGA-PBE).

Values from the calculation:
Space-group type: P4/mmm
Electronic total energy: -17.63 eV/f.u.

a b c (Å): 4.445 4.445 6.099
angles (deg): 90.00 90.00 90.00
Positions (direct):
F  0.000  0.500  0.000
F  0.500  0.000  0.000
Hg  0.500  0.500  0.500
Sn  0.000  0.000  0.000
Te  0.000  0.000  0.500



Entry from Alexandria: a geometry-optimized SbMoS2 structure (GGA-PBE).

Values from the calculation:
Space-group type: R-3m
Electronic total energy: -24.54 eV/f.u.

a b c (Å): 8.930 8.930 8.930
angles (deg): 21.23 21.23 21.23
Positions (direct):
Mo  0.500  0.500  0.500
S  0.108  0.108  0.108
S  0.892  0.892  0.892
Sb  0.000  0.000  0.000